1.
{
  "formula": "TiSnAs",
  "functional": "PBE",
  "state": "relaxed",
  "cell": [[3.4100, -0.0063, -0.0597], [0.0074, 3.4826, 0.0626], [0.0553, 1.5605, 10.7435]],
  "species": ["As", "As", "Sn", "Sn", "Ti", "Ti"],
  "fractional_positions": [[0.0071, 0.5582, 0.2953], [0.9968, 0.1913, 0.0323], [0.9792, 0.3266, 0.7618], [0.0219, 0.9542, 0.5020], [0.4924, 0.7365, 0.9417], [0.5047, 0.0992, 0.2136]],
  "n_ef_per_ev_cell": 3.008,
  "e_form_mev_per_atom": -439,
  "space_group": "P1, No. 1",
  "energy_ev_per_atom": -5.95,
  "density_g_cm3": 6.30,
  "m_tot_mub_per_atom": 0.00
}

2.
{
  "formula": "Ti2SnAs",
  "functional": "PBE",
  "state": "relaxed",
  "cell": [[6.0465, 0.0000, 0.0000], [0.0000, 6.0465, 0.0000], [3.0233, 3.0233, 5.9713]],
  "species": ["As", "As", "Ti", "Ti", "Ti", "Ti", "Sn", "Sn"],
  "fractional_positions": [[0.5000, 0.5000, 0.0000], [0.2500, 0.7500, 0.5000], [0.8750, 0.8412, 0.7500], [0.1588, 0.6250, 0.2500], [0.5912, 0.1250, 0.2500], [0.3750, 0.4088, 0.7500], [0.7500, 0.2500, 0.5000], [0.0000, 0.0000, 0.0000]],
  "n_ef_per_ev_cell": 9.115,
  "e_form_mev_per_atom": 230,
  "space_group": "I-42d, No. 122",
  "energy_ev_per_atom": -5.88,
  "polymorph_energy_mev_per_atom": 775,
  "density_g_cm3": 4.40,
  "m_tot_mub_per_atom": 0.00
}

3.
{
  "formula": "Ti2Sn2As",
  "functional": "PBE",
  "state": "relaxed",
  "cell": [[-0.9360, 1.8402, 6.4987], [5.4243, -3.7044, 1.8302], [2.5440, 3.4268, -0.6040]],
  "species": ["Sn", "Sn", "Sn", "Sn", "Ti", "Ti", "Ti", "Ti", "As", "As"],
  "fractional_positions": [[0.8456, 0.3456, 0.5000], [0.3456, 0.1544, 0.5000], [0.6544, 0.8456, 0.5000], [0.1544, 0.6544, 0.5000], [0.1569, 0.3431, 0.0000], [0.8431, 0.6569, 0.0000], [0.3431, 0.8431, 0.0000], [0.6569, 0.1569, 0.0000], [0.5000, 0.5000, 0.0000], [0.0000, 0.0000, 0.0000]],
  "n_ef_per_ev_cell": 11.070,
  "e_form_mev_per_atom": -348,
  "space_group": "P4/mbm, No. 127",
  "energy_ev_per_atom": -6.04,
  "polymorph_energy_mev_per_atom": 0,
  "density_g_cm3": 6.76,
  "m_tot_mub_per_atom": 0.00
}

4.
{
  "formula": "Ti2SnAs",
  "functional": "PBE",
  "state": "relaxed",
  "cell": [[3.6160, 0.0000, 0.0000], [1.8080, 3.1316, 0.0000], [1.8080, 1.0439, 6.8689]],
  "species": ["Ti", "Ti", "Sn", "As"],
  "fractional_positions": [[0.2643, 0.2643, 0.2071], [0.7357, 0.7357, 0.7929], [0.5000, 0.5000, 0.5000], [0.0000, 0.0000, 0.0000]],
  "n_ef_per_ev_cell": 3.721,
  "e_form_mev_per_atom": -500,
  "space_group": "R-3m, No. 166",
  "energy_ev_per_atom": -6.61,
  "polymorph_energy_mev_per_atom": 45,
  "density_g_cm3": 6.18,
  "m_tot_mub_per_atom": 0.00
}

5.
{
  "formula": "Ti2SnAs",
  "functional": "PBE",
  "state": "relaxed",
  "cell": [[0.0000, 3.3124, 3.3124], [3.3124, 0.0000, 3.3124], [3.3124, 3.3124, 0.0000]],
  "species": ["Ti", "Ti", "Sn", "As"],
  "fractional_positions": [[0.2500, 0.2500, 0.2500], [0.7500, 0.7500, 0.7500], [0.5000, 0.5000, 0.5000], [0.0000, 0.0000, 0.0000]],
  "n_ef_per_ev_cell": 6.165,
  "e_form_mev_per_atom": -209,
  "space_group": "Fm-3m, No. 225",
  "energy_ev_per_atom": -6.32,
  "polymorph_energy_mev_per_atom": 336,
  "density_g_cm3": 6.61,
  "m_tot_mub_per_atom": 0.00
}

6.
{
  "formula": "Ti8SnAs2",
  "functional": "PBE",
  "state": "relaxed",
  "cell": [[4.8926, -0.1614, -0.2423], [-1.0441, 6.7500, -0.3060], [-1.0441, -2.8821, 6.1114]],
  "species": ["Ti", "Ti", "Ti", "Ti", "Ti", "Ti", "Ti", "Ti", "As", "As", "Sn"],
  "fractional_positions": [[0.1098, 0.0855, 0.3162], [0.5000, 0.2440, 0.7560], [0.3095, 0.5863, 0.5863], [0.1098, 0.3162, 0.0855], [0.8902, 0.6838, 0.9145], [0.8902, 0.9145, 0.6838], [0.5000, 0.7560, 0.2440], [0.6905, 0.4137, 0.4137], [0.0000, 0.6934, 0.3066], [0.0000, 0.3066, 0.6934], [0.5000, 0.0000, 0.0000]],
  "n_ef_per_ev_cell": 12.334,
  "e_form_mev_per_atom": -406,
  "space_group": "C2/m, No. 12",
  "energy_ev_per_atom": -7.36,
  "density_g_cm3": 5.58,
  "m_tot_mub_per_atom": 0.16
}

7.
{
  "formula": "Ti2SnAs",
  "functional": "PBE",
  "state": "relaxed",
  "cell": [[-2.1084, -1.4242, -2.4055], [-3.1286, -1.2603, 0.9400], [-4.7279, 5.5932, -1.7159]],
  "species": ["As", "Ti", "Ti", "Sn"],
  "fractional_positions": [[0.6673, 0.6673, 0.9981], [0.2649, 0.2649, 0.2054], [0.0688, 0.0688, 0.7935], [0.4990, 0.4990, 0.5030]],
  "n_ef_per_ev_cell": 2.326,
  "e_form_mev_per_atom": -545,
  "space_group": "R3m, No. 160",
  "energy_ev_per_atom": -6.66,
  "polymorph_energy_mev_per_atom": 0,
  "density_g_cm3": 6.25,
  "m_tot_mub_per_atom": 0.00
}

8.
{
  "formula": "TiSnAs",
  "functional": "PBE",
  "state": "relaxed",
  "cell": [[3.3781, -0.0009, 0.1318], [0.0071, 3.4954, -0.1592], [1.2957, 0.4890, 10.7651]],
  "species": ["As", "As", "Sn", "Sn", "Ti", "Ti"],
  "fractional_positions": [[0.4123, 0.6899, 0.9670], [0.0464, 0.6900, 0.7042], [0.2745, 0.6904, 0.2385], [0.1524, 0.1905, 0.4972], [0.5042, 0.1899, 0.7876], [0.8655, 0.1899, 0.0589]],
  "n_ef_per_ev_cell": 3.088,
  "e_form_mev_per_atom": -437,
  "space_group": "Pm, No. 6",
  "energy_ev_per_atom": -5.95,
  "density_g_cm3": 6.33,
  "m_tot_mub_per_atom": 0.00
}